A plane-wave DFT calculation with GGA-PBE was carried out for an optimized crystal structure of LuHfCo2.

Cell lengths 4.539, 4.539, 4.539 Å; angles 60.00, 60.00, 60.00 degrees
Element x y z (fractional)
Hf 0.500 0.500 0.500
Lu 0.000 0.000 0.000
Co 0.250 0.250 0.250
Co 0.750 0.750 0.750

Results
energy relative to the elements	-0.323	eV/atom
energy above the most stable polymorph in this dataset	38	meV per atom
size of the total moment	0.292	μB per atom
total DFT energy (no corrections)	-7.494	eV/atom
DOS(E_F)	0.69	states/eV/atom
crystal system	cubic
V	66.1	Å³ per cell

A plane-wave DFT calculation with GGA-PBE was carried out for an optimized crystal structure of LuHfCo.

Cell lengths 3.242, 3.242, 6.069 Å; angles 105.49, 105.49, 90.00 degrees
Element x y z (fractional)
Co 0.680 0.680 0.360
Lu 0.019 0.019 0.037
Hf 0.301 0.301 0.602

Results
energy relative to the elements	-0.136	eV/atom
size of the total moment	0.512	μB per atom
total DFT energy (no corrections)	-7.330	eV/atom
DOS(E_F)	1.11	states/eV/atom
crystal system	tetragonal
V	59.1	Å³ per cell

A plane-wave DFT calculation with GGA-PBE was carried out for an optimized crystal structure of LuHfCo2.

Cell lengths 3.164, 4.562, 4.562 Å; angles 90.00, 90.00, 90.00 degrees
Element x y z (fractional)
Hf 0.500 0.000 0.000
Co 0.000 0.500 0.000
Co 0.000 0.000 0.500
Lu 0.500 0.500 0.500

Results
energy relative to the elements	-0.329	eV/atom
energy above the most stable polymorph in this dataset	32	meV per atom
size of the total moment	0.274	μB per atom
total DFT energy (no corrections)	-7.500	eV/atom
DOS(E_F)	0.38	states/eV/atom
crystal system	tetragonal
V	65.9	Å³ per cell

A plane-wave DFT calculation with GGA-PBE was carried out for an optimized crystal structure of LuHfMnCo.

Cell lengths 4.526, 4.526, 4.526 Å; angles 60.00, 60.00, 60.00 degrees
Element x y z (fractional)
Lu 0.750 0.750 0.750
Co 0.000 0.000 0.000
Hf 0.250 0.250 0.250
Mn 0.500 0.500 0.500

Results
energy relative to the elements	-0.079	eV/atom
size of the total moment	0.118	μB per atom
total DFT energy (no corrections)	-7.766	eV/atom
DOS(E_F)	1.32	states/eV/atom
crystal system	cubic
V	65.6	Å³ per cell

A plane-wave DFT calculation with GGA-PBE was carried out for an optimized crystal structure of LuHfCoOs.

Cell lengths 4.603, 4.603, 4.603 Å; angles 60.00, 60.00, 60.00 degrees
Element x y z (fractional)
Os 0.250 0.250 0.250
Hf 0.500 0.500 0.500
Lu 0.000 0.000 0.000
Co 0.750 0.750 0.750

Results
energy relative to the elements	-0.434	eV/atom
size of the total moment	0.071	μB per atom
total DFT energy (no corrections)	-8.636	eV/atom
DOS(E_F)	0.38	states/eV/atom
crystal system	cubic
V	69.0	Å³ per cell

A plane-wave DFT calculation with GGA-PBE was carried out for an optimized crystal structure of LuHfCoTc.

Cell lengths 4.599, 4.599, 4.599 Å; angles 60.00, 60.00, 60.00 degrees
Element x y z (fractional)
Tc 0.750 0.750 0.750
Co 0.250 0.250 0.250
Hf 0.500 0.500 0.500
Lu 0.000 0.000 0.000

Results
energy relative to the elements	-0.295	eV/atom
size of the total moment	0.000	μB per atom
total DFT energy (no corrections)	-8.282	eV/atom
DOS(E_F)	1.15	states/eV/atom
crystal system	cubic
V	68.8	Å³ per cell

A plane-wave DFT calculation with GGA-PBE was carried out for an optimized crystal structure of HfMg6Co.

Cell lengths 6.337, 6.337, 4.785 Å; angles 90.00, 90.00, 122.49 degrees
Element x y z (fractional)
Mg 0.663 0.824 0.000
Mg 0.831 0.683 0.500
Mg 0.176 0.337 0.000
Mg 0.674 0.326 0.000
Mg 0.833 0.167 0.500
Mg 0.317 0.169 0.500
Hf 0.307 0.693 0.500
Co 0.198 0.802 0.000

Results
energy relative to the elements	0.127	eV/atom
energy above the most stable polymorph in this dataset	0	meV per atom
size of the total moment	0.053	μB per atom
total DFT energy (no corrections)	-3.201	eV/atom
DOS(E_F)	0.65	states/eV/atom
crystal system	orthorhombic
V	162.1	Å³ per cell

A plane-wave DFT calculation with GGA-PBE was carried out for an optimized crystal structure of HfMgCo2.

Cell lengths 3.122, 3.122, 6.057 Å; angles 90.00, 90.00, 90.00 degrees
Element x y z (fractional)
Mg 0.500 0.500 0.500
Co 0.000 0.000 0.241
Co 0.000 0.000 0.759
Hf 0.500 0.500 0.000

Results
energy relative to the elements	-0.218	eV/atom
size of the total moment	0.073	μB per atom
total DFT energy (no corrections)	-6.658	eV/atom
DOS(E_F)	0.65	states/eV/atom
crystal system	tetragonal
V	59.0	Å³ per cell

A plane-wave DFT calculation with GGA-PBE was carried out for an optimized crystal structure of HfMg3Co8.

Cell lengths 4.830, 4.830, 7.896 Å; angles 90.00, 90.00, 120.00 degrees
Element x y z (fractional)
Co 0.674 0.837 0.251
Co 0.333 0.667 0.499
Co 0.163 0.326 0.251
Co 0.333 0.667 0.997
Co 0.504 0.008 0.749
Co 0.163 0.837 0.251
Co 0.992 0.496 0.749
Co 0.504 0.496 0.749
Hf 0.000 0.000 0.569
Mg 0.667 0.333 0.429
Mg 0.667 0.333 0.062
Mg 0.000 0.000 0.945

Results
energy relative to the elements	-0.137	eV/atom
size of the total moment	0.799	μB per atom
total DFT energy (no corrections)	-6.102	eV/atom
DOS(E_F)	1.18	states/eV/atom
crystal system	trigonal
V	159.5	Å³ per cell

A plane-wave DFT calculation with GGA-PBE was carried out for an optimized crystal structure of HfMg14Co.

Cell lengths 6.336, 6.336, 10.101 Å; angles 90.00, 90.00, 122.66 degrees
Element x y z (fractional)
Mg 0.334 0.666 0.000
Mg 0.830 0.695 0.500
Mg 0.170 0.830 0.246
Mg 0.335 0.172 0.000
Mg 0.684 0.316 0.283
Mg 0.669 0.835 0.739
Mg 0.684 0.316 0.717
Mg 0.170 0.830 0.754
Mg 0.165 0.331 0.261
Mg 0.305 0.170 0.500
Mg 0.828 0.665 0.000
Mg 0.165 0.331 0.739
Mg 0.831 0.169 0.000
Mg 0.669 0.835 0.261
Co 0.840 0.160 0.500
Hf 0.320 0.680 0.500

Results
energy relative to the elements	0.080	eV/atom
energy above the most stable polymorph in this dataset	0	meV per atom
size of the total moment	0.019	μB per atom
total DFT energy (no corrections)	-2.382	eV/atom
DOS(E_F)	0.54	states/eV/atom
crystal system	orthorhombic
V	341.3	Å³ per cell

A plane-wave DFT calculation with GGA-PBE was carried out for an optimized crystal structure of Hf2MgCo.

Cell lengths 3.276, 3.276, 9.667 Å; angles 80.24, 80.24, 60.00 degrees
Element x y z (fractional)
Hf 0.891 0.891 0.328
Hf 0.109 0.109 0.672
Mg 0.000 0.000 0.000
Co 0.500 0.500 0.500

Results
energy relative to the elements	0.245	eV/atom
size of the total moment	0.000	μB per atom
total DFT energy (no corrections)	-6.907	eV/atom
DOS(E_F)	0.98	states/eV/atom
crystal system	trigonal
V	88.1	Å³ per cell

A plane-wave DFT calculation with GGA-PBE was carried out for an optimized crystal structure of HfMg3Co.

Cell lengths 5.554, 5.554, 5.554 Å; angles 90.00, 90.00, 90.00 degrees
Element x y z (fractional)
Mg 0.500 0.000 0.000
Mg 0.000 0.500 0.000
Mg 0.000 0.000 0.500
Co 0.500 0.500 0.500
Hf 0.000 0.000 0.000

Results
energy relative to the elements	1.802	eV/atom
energy above the most stable polymorph in this dataset	1271	meV per atom
size of the total moment	0.414	μB per atom
total DFT energy (no corrections)	-2.566	eV/atom
DOS(E_F)	2.10	states/eV/atom
crystal system	cubic
V	171.3	Å³ per cell

Q: Number 6 is which compound?
A: LuHfCoTc